(1)
# PBEsol InHg2Se, optimized geometry
data_InHg2Se
_symmetry_space_group_name_H-M 'P 4/m m m'
_symmetry_Int_Tables_number 123
_symmetry_space_group_name_Hall '-P 4 2'
_cell_length_a 4.0776
_cell_length_b 4.0776
_cell_length_c 6.0023
_cell_angle_alpha 90.00
_cell_angle_beta 90.00
_cell_angle_gamma 90.00
loop_
_atom_site_label
_atom_site_type_symbol
_atom_site_fract_x
_atom_site_fract_y
_atom_site_fract_z
_atom_site_occupancy
In1 In 0.0000 0.0000 0.0000 1
Hg1 Hg 0.0000 0.5000 0.5000 1
Se1 Se 0.5000 0.5000 0.0000 1
# formation energy without anion corrections: -88 meV/atom

(2)
# PBEsol InHg2Se, optimized geometry
data_InHg2Se
_symmetry_space_group_name_H-M 'R 3 m'
_symmetry_Int_Tables_number 160
_symmetry_space_group_name_Hall 'R 3 -2"'
_cell_length_a 3.9460
_cell_length_b 3.9460
_cell_length_c 22.1632
_cell_angle_alpha 90.00
_cell_angle_beta 90.00
_cell_angle_gamma 120.00
loop_
_atom_site_label
_atom_site_type_symbol
_atom_site_fract_x
_atom_site_fract_y
_atom_site_fract_z
_atom_site_occupancy
In1 In 0.0000 0.0000 0.0000 1
Hg1 Hg 0.0000 0.0000 0.5072 1
Hg2 Hg 0.0000 0.0000 0.7545 1
Se1 Se 0.0000 0.0000 0.2637 1
# formation energy without anion corrections: -190 meV/atom

(3)
# PBEsol InSiHgSe2, optimized geometry
data_InSiHgSe2
_symmetry_space_group_name_H-M 'P 4/m m m'
_symmetry_Int_Tables_number 123
_symmetry_space_group_name_Hall '-P 4 2'
_cell_length_a 4.9315
_cell_length_b 4.9315
_cell_length_c 5.0022
_cell_angle_alpha 90.00
_cell_angle_beta 90.00
_cell_angle_gamma 90.00
loop_
_atom_site_label
_atom_site_type_symbol
_atom_site_fract_x
_atom_site_fract_y
_atom_site_fract_z
_atom_site_occupancy
In1 In 0.0000 0.0000 0.0000 1
Si1 Si 0.5000 0.5000 0.5000 1
Hg1 Hg 0.5000 0.5000 0.0000 1
Se1 Se 0.0000 0.5000 0.5000 1
# formation energy without anion corrections: 37 meV/atom

(4)
# PBEsol ZrInHgSe2, optimized geometry
data_ZrInHgSe2
_symmetry_space_group_name_H-M 'P 4/m m m'
_symmetry_Int_Tables_number 123
_symmetry_space_group_name_Hall '-P 4 2'
_cell_length_a 5.1044
_cell_length_b 5.1044
_cell_length_c 5.5370
_cell_angle_alpha 90.00
_cell_angle_beta 90.00
_cell_angle_gamma 90.00
loop_
_atom_site_label
_atom_site_type_symbol
_atom_site_fract_x
_atom_site_fract_y
_atom_site_fract_z
_atom_site_occupancy
Zr1 Zr 0.0000 0.0000 0.0000 1
In1 In 0.0000 0.0000 0.5000 1
Hg1 Hg 0.5000 0.5000 0.0000 1
Se1 Se 0.0000 0.5000 0.5000 1
# formation energy without anion corrections: 668 meV/atom

(5)
# PBEsol InSi2Hg, optimized geometry
data_InSi2Hg
_symmetry_space_group_name_H-M 'P 1 m 1'
_symmetry_Int_Tables_number 6
_symmetry_space_group_name_Hall 'P -2y'
_cell_length_a 2.9455
_cell_length_b 3.4487
_cell_length_c 7.8259
_cell_angle_alpha 90.00
_cell_angle_beta 90.08
_cell_angle_gamma 90.00
loop_
_atom_site_label
_atom_site_type_symbol
_atom_site_fract_x
_atom_site_fract_y
_atom_site_fract_z
_atom_site_occupancy
In1 In 0.0000 0.0000 0.0000 1
Si1 Si 0.0032 0.5000 0.7099 1
Si2 Si 0.5028 0.0000 0.5660 1
Hg1 Hg 0.5007 0.5000 0.2851 1
# formation energy without anion corrections: 232 meV/atom
# relative energy among the computed polymorphs: 0.14 eV per formula unit

(6)
# PBEsol InSi2Hg, optimized geometry
data_InSi2Hg
_symmetry_space_group_name_H-M 'P 4 m m'
_symmetry_Int_Tables_number 99
_symmetry_space_group_name_Hall 'P 4 -2'
_cell_length_a 3.3659
_cell_length_b 3.3659
_cell_length_c 7.5466
_cell_angle_alpha 90.00
_cell_angle_beta 90.00
_cell_angle_gamma 90.00
loop_
_atom_site_label
_atom_site_type_symbol
_atom_site_fract_x
_atom_site_fract_y
_atom_site_fract_z
_atom_site_occupancy
In1 In 0.0000 0.0000 0.0000 1
Si1 Si 0.0000 0.0000 0.3460 1
Si2 Si 0.5000 0.5000 0.4259 1
Hg1 Hg 0.5000 0.5000 0.7599 1
# formation energy without anion corrections: 198 meV/atom
# relative energy among the computed polymorphs: 0.00 eV per formula unit

(7)
# PBEsol InSi2Hg, optimized geometry
data_InSi2Hg
_symmetry_space_group_name_H-M 'R -3 m'
_symmetry_Int_Tables_number 166
_symmetry_space_group_name_Hall '-R 3 2"'
_cell_length_a 3.0689
_cell_length_b 3.0689
_cell_length_c 29.1912
_cell_angle_alpha 90.00
_cell_angle_beta 90.00
_cell_angle_gamma 120.00
loop_
_atom_site_label
_atom_site_type_symbol
_atom_site_fract_x
_atom_site_fract_y
_atom_site_fract_z
_atom_site_occupancy
In1 In 0.0000 0.0000 0.0000 1
Si1 Si 0.0000 0.0000 0.2474 1
Hg1 Hg 0.0000 0.0000 0.5000 1
# formation energy without anion corrections: 479 meV/atom
# relative energy among the computed polymorphs: 1.13 eV per formula unit

(8)
# PBEsol Sm2InHg, optimized geometry
data_Sm2InHg
_symmetry_space_group_name_H-M 'F m -3 m'
_symmetry_Int_Tables_number 225
_symmetry_space_group_name_Hall '-F 4 2 3'
_cell_length_a 7.5024
_cell_length_b 7.5024
_cell_length_c 7.5024
_cell_angle_alpha 90.00
_cell_angle_beta 90.00
_cell_angle_gamma 90.00
loop_
_atom_site_label
_atom_site_type_symbol
_atom_site_fract_x
_atom_site_fract_y
_atom_site_fract_z
_atom_site_occupancy
Sm1 Sm 0.2500 0.2500 0.2500 1
In1 In 0.0000 0.0000 0.0000 1
Hg1 Hg 0.0000 0.0000 0.5000 1
# calculated formation energy: -0.53 eV/atom